(1)
The following is a GGA-PBE calculation of an optimized crystal structure of Nb2InRu, from the Alexandria database.

Values from the calculation:
Spin magnetization ... 0.00 μB/atom
Energy of formation ... 287 meV/atom
Space-group type ... R3m

Lattice parameters (Å, degrees): 4.075 4.075 17.570 90.00 90.00 120.00
Positions (direct):
Nb 0.000 0.000 0.000
Nb 0.000 0.000 0.213
Nb 0.333 0.667 0.667
Nb 0.333 0.667 0.880
Nb 0.667 0.333 0.333
Nb 0.667 0.333 0.547
In 0.000 0.000 0.776
In 0.333 0.667 0.443
In 0.667 0.333 0.109
Ru 0.000 0.000 0.609
Ru 0.333 0.667 0.276
Ru 0.667 0.333 0.942

(2)
The following is a GGA-PBE calculation of an optimized crystal structure of Nb2In2RuS6, from the Alexandria database.

Values from the calculation:
Spin magnetization ... 0.00 μB/atom
Formation energy from raw total energies ... -0.67 eV per atom
Space-group type ... C2/m

Lattice parameters (Å, degrees): 6.059 6.059 8.075 96.79 96.79 123.53
Positions (direct):
Nb 0.137 0.863 0.000
Nb 0.863 0.137 0.000
In 0.316 0.684 0.500
In 0.684 0.316 0.500
Ru 0.500 0.500 0.000
S 0.116 0.455 0.824
S 0.258 0.258 0.212
S 0.455 0.116 0.824
S 0.545 0.884 0.176
S 0.742 0.742 0.788
S 0.884 0.545 0.176

(3)
The following is a GGA-PBE calculation of an optimized crystal structure of NbInSbRu2, from the Alexandria database.

Values from the calculation:
Spin magnetization ... 0.35 μB/atom
Formation energy from raw total energies ... 1.28 eV per atom
Space-group type ... P4/mmm

Lattice parameters (Å, degrees): 4.807 4.807 5.082 90.00 90.00 90.00
Positions (direct):
Nb 0.000 0.000 0.000
In 0.500 0.500 0.000
Sb 0.000 0.000 0.500
Ru 0.000 0.500 0.500
Ru 0.500 0.000 0.500

(4)
The following is a GGA-PBE calculation of an optimized crystal structure of ScNbInRu, from the Alexandria database.

Values from the calculation:
Spin magnetization ... 0.00 μB/atom
Energy of formation ... -175 meV/atom
Space-group type ... F-43m

Lattice parameters (Å, degrees): 6.593 6.593 6.593 90.00 90.00 90.00
Positions (direct):
Sc 0.000 0.000 0.000
Sc 0.000 0.500 0.500
Sc 0.500 0.000 0.500
Sc 0.500 0.500 0.000
Nb 0.250 0.250 0.750
Nb 0.250 0.750 0.250
Nb 0.750 0.250 0.250
Nb 0.750 0.750 0.750
In 0.250 0.250 0.250
In 0.250 0.750 0.750
In 0.750 0.250 0.750
In 0.750 0.750 0.250
Ru 0.000 0.000 0.500
Ru 0.000 0.500 0.000
Ru 0.500 0.000 0.000
Ru 0.500 0.500 0.500

(5)
The following is a GGA-PBE calculation of an optimized crystal structure of NbInSnRu2, from the Alexandria database.

Values from the calculation:
Spin magnetization ... 0.00 μB/atom
Energy of formation ... 1139 meV/atom
Space-group type ... P4/mmm

Lattice parameters (Å, degrees): 4.742 4.742 5.369 90.00 90.00 90.00
Positions (direct):
Nb 0.000 0.000 0.000
In 0.000 0.000 0.500
Sn 0.500 0.500 0.500
Ru 0.000 0.500 0.000
Ru 0.500 0.000 0.000

(6)
The following is a GGA-PBE calculation of an optimized crystal structure of NbInTc2Ru, from the Alexandria database.

Values from the calculation:
Spin magnetization ... 0.56 μB/atom
Energy of formation ... 1909 meV/atom
Space-group type ... P4/mmm

Lattice parameters (Å, degrees): 4.633 4.633 5.205 90.00 90.00 90.00
Positions (direct):
Nb 0.000 0.000 0.000
In 0.000 0.000 0.500
Tc 0.000 0.500 0.000
Tc 0.500 0.000 0.000
Ru 0.500 0.500 0.500

(7)
The following is a GGA-PBE calculation of an optimized crystal structure of NbVIn2Ru, from the Alexandria database.

Values from the calculation:
Spin magnetization ... 0.25 μB/atom
Energy of formation ... 1488 meV/atom
Space-group type ... P4/mmm

Lattice parameters (Å, degrees): 5.288 5.288 4.417 90.00 90.00 90.00
Positions (direct):
Nb 0.000 0.000 0.000
V 0.000 0.000 0.500
In 0.000 0.500 0.000
In 0.500 0.000 0.000
Ru 0.500 0.500 0.500

(8)
The following is a GGA-PBE calculation of an optimized crystal structure of Nb2V2InRu5, from the Alexandria database.

Values from the calculation:
Spin magnetization ... 0.00 μB/atom
Energy of formation ... 10 meV/atom
Space-group type ... P4/mbm

Lattice parameters (Å, degrees): 9.477 9.477 3.542 90.00 90.00 90.00
Positions (direct):
Nb 0.175 0.325 0.000
Nb 0.325 0.825 0.000
Nb 0.675 0.175 0.000
Nb 0.825 0.675 0.000
V 0.123 0.623 0.000
V 0.377 0.123 0.000
V 0.623 0.877 0.000
V 0.877 0.377 0.000
In 0.000 0.000 0.000
In 0.500 0.500 0.000
Ru 0.000 0.500 0.500
Ru 0.066 0.788 0.500
Ru 0.212 0.066 0.500
Ru 0.288 0.566 0.500
Ru 0.434 0.288 0.500
Ru 0.500 0.000 0.500
Ru 0.566 0.712 0.500
Ru 0.712 0.434 0.500
Ru 0.788 0.934 0.500
Ru 0.934 0.212 0.500

(9)
The following is a GGA-PBE calculation of an optimized crystal structure of NbVInRu, from the Alexandria database.

Values from the calculation:
Spin magnetization ... 0.71 μB/atom
Energy of formation ... -78 meV/atom
Space-group type ... F-43m

Lattice parameters (Å, degrees): 6.440 6.440 6.440 90.00 90.00 90.00
Positions (direct):
Nb 0.000 0.000 0.000
Nb 0.000 0.500 0.500
Nb 0.500 0.000 0.500
Nb 0.500 0.500 0.000
V 0.250 0.250 0.750
V 0.250 0.750 0.250
V 0.750 0.250 0.250
V 0.750 0.750 0.750
In 0.000 0.000 0.500
In 0.000 0.500 0.000
In 0.500 0.000 0.000
In 0.500 0.500 0.500
Ru 0.250 0.250 0.250
Ru 0.250 0.750 0.750
Ru 0.750 0.250 0.750
Ru 0.750 0.750 0.250

(10)
The following is a GGA-PBE calculation of an optimized crystal structure of NbZnInRu, from the Alexandria database.

Values from the calculation:
Spin magnetization ... 0.00 μB/atom
Energy of formation ... -69 meV/atom
Space-group type ... F-43m

Lattice parameters (Å, degrees): 6.430 6.430 6.430 90.00 90.00 90.00
Positions (direct):
Nb 0.000 0.000 0.000
Nb 0.000 0.500 0.500
Nb 0.500 0.000 0.500
Nb 0.500 0.500 0.000
Zn 0.250 0.250 0.750
Zn 0.250 0.750 0.250
Zn 0.750 0.250 0.250
Zn 0.750 0.750 0.750
In 0.000 0.000 0.500
In 0.000 0.500 0.000
In 0.500 0.000 0.000
In 0.500 0.500 0.500
Ru 0.250 0.250 0.250
Ru 0.250 0.750 0.750
Ru 0.750 0.250 0.750
Ru 0.750 0.750 0.250

(11)
The following is a GGA-PBE calculation of an optimized crystal structure of NbIn3S, from the Alexandria database.

Values from the calculation:
Spin magnetization ... 0.67 μB/atom
Formation energy from raw total energies ... 0.84 eV per atom
Space-group type ... Pm-3m
ΔE to the lowest computed polymorph ... 0.000 eV per atom

Lattice parameters (Å, degrees): 5.482 5.482 5.482 90.00 90.00 90.00
Positions (direct):
Nb 0.000 0.000 0.000
In 0.000 0.000 0.500
In 0.000 0.500 0.000
In 0.500 0.000 0.000
S 0.500 0.500 0.500

(12)
The following is a GGA-PBE calculation of an optimized crystal structure of NbInS2, from the Alexandria database.

Values from the calculation:
Spin magnetization ... 0.47 μB/atom
Formation energy from raw total energies ... -0.35 eV per atom
Space-group type ... I-42d

Lattice parameters (Å, degrees): 6.737 6.737 10.220 90.00 90.00 90.00
Positions (direct):
Nb 0.000 0.000 0.000
Nb 0.000 0.500 0.250
Nb 0.500 0.000 0.750
Nb 0.500 0.500 0.500
In 0.000 0.000 0.500
In 0.000 0.500 0.750
In 0.500 0.000 0.250
In 0.500 0.500 0.000
S 0.164 0.250 0.125
S 0.250 0.664 0.375
S 0.250 0.836 0.875
S 0.336 0.250 0.625
S 0.664 0.750 0.625
S 0.750 0.164 0.875
S 0.750 0.336 0.375
S 0.836 0.750 0.125

(13)
The following is a GGA-PBE calculation of an optimized crystal structure of Nb3InS, from the Alexandria database.

Values from the calculation:
Spin magnetization ... 0.00 μB/atom
Formation energy from raw total energies ... -0.26 eV per atom
Space-group type ... P-1
ΔE to the lowest computed polymorph ... 0.000 eV per atom

Lattice parameters (Å, degrees): 6.042 6.046 6.682 65.46 65.57 61.97
Positions (direct):
Nb 0.086 0.084 0.233
Nb 0.102 0.604 0.165
Nb 0.396 0.899 0.835
Nb 0.604 0.101 0.165
Nb 0.898 0.396 0.835
Nb 0.914 0.916 0.767
In 0.414 0.416 0.756
In 0.586 0.584 0.244
S 0.186 0.187 0.508
S 0.814 0.813 0.492

(14)
The following is a GGA-PBE calculation of an optimized crystal structure of Nb3InS, from the Alexandria database.

Values from the calculation:
Spin magnetization ... 0.00 μB/atom
Formation energy from raw total energies ... 0.02 eV per atom
Space-group type ... Pm-3m
ΔE to the lowest computed polymorph ... 0.281 eV per atom

Lattice parameters (Å, degrees): 4.621 4.621 4.621 90.00 90.00 90.00
Positions (direct):
Nb 0.000 0.000 0.500
Nb 0.000 0.500 0.000
Nb 0.500 0.000 0.000
In 0.500 0.500 0.500
S 0.000 0.000 0.000

(15)
The following is a GGA-PBE calculation of an optimized crystal structure of NbIn2S, from the Alexandria database.

Values from the calculation:
Spin magnetization ... 0.00 μB/atom
Formation energy from raw total energies ... 0.35 eV per atom
Space-group type ... I-42d

Lattice parameters (Å, degrees): 7.746 7.746 5.740 90.00 90.00 90.00
Positions (direct):
Nb 0.000 0.000 0.000
Nb 0.000 0.500 0.250
Nb 0.500 0.000 0.750
Nb 0.500 0.500 0.500
In 0.231 0.250 0.625
In 0.250 0.731 0.875
In 0.250 0.769 0.375
In 0.269 0.250 0.125
In 0.731 0.750 0.125
In 0.750 0.231 0.375
In 0.750 0.269 0.875
In 0.769 0.750 0.625
S 0.000 0.000 0.500
S 0.000 0.500 0.750
S 0.500 0.000 0.250
S 0.500 0.500 0.000

(16)
The following is a GGA-PBE calculation of an optimized crystal structure of NbInS2, from the Alexandria database.

Values from the calculation:
Spin magnetization ... 0.00 μB/atom
Formation energy from raw total energies ... -0.76 eV per atom
Space-group type ... R-3m

Lattice parameters (Å, degrees): 3.341 3.341 26.471 90.00 90.00 120.00
Positions (direct):
Nb 0.000 0.000 0.000
Nb 0.333 0.667 0.667
Nb 0.667 0.333 0.333
In 0.000 0.000 0.500
In 0.333 0.667 0.167
In 0.667 0.333 0.833
S 0.000 0.000 0.273
S 0.000 0.000 0.727
S 0.333 0.667 0.394
S 0.333 0.667 0.940
S 0.667 0.333 0.060
S 0.667 0.333 0.606

(17)
The following is a GGA-PBE calculation of an optimized crystal structure of NbInS2, from the Alexandria database.

Values from the calculation:
Spin magnetization ... 0.00 μB/atom
Formation energy from raw total energies ... -0.88 eV per atom
Space-group type ... P-6m2

Lattice parameters (Å, degrees): 3.349 3.349 8.828 90.00 90.00 120.00
Positions (direct):
Nb 0.000 0.000 0.000
In 0.333 0.667 0.500
S 0.333 0.667 0.177
S 0.333 0.667 0.823

(18)
The following is a GGA-PBE calculation of an optimized crystal structure of NbInS4, from the Alexandria database.

Values from the calculation:
Spin magnetization ... 0.00 μB/atom
Formation energy from raw total energies ... -0.61 eV per atom
Space-group type ... I-4

Lattice parameters (Å, degrees): 5.820 5.820 10.475 90.00 90.00 90.00
Positions (direct):
Nb 0.000 0.000 0.000
Nb 0.500 0.500 0.500
In 0.000 0.500 0.750
In 0.500 0.000 0.250
S 0.231 0.239 0.119
S 0.239 0.769 0.881
S 0.261 0.731 0.381
S 0.269 0.261 0.619
S 0.731 0.739 0.619
S 0.739 0.269 0.381
S 0.761 0.231 0.881
S 0.769 0.761 0.119

(19)
The following is a GGA-PBE calculation of an optimized crystal structure of NbIn3S, from the Alexandria database.

Values from the calculation:
Spin magnetization ... 0.00 μB/atom
Formation energy from raw total energies ... 0.89 eV per atom
Space-group type ... Pm-3m
ΔE to the lowest computed polymorph ... 0.047 eV per atom

Lattice parameters (Å, degrees): 5.061 5.061 5.061 90.00 90.00 90.00
Positions (direct):
Nb 0.000 0.000 0.000
In 0.000 0.500 0.500
In 0.500 0.000 0.500
In 0.500 0.500 0.000
S 0.500 0.500 0.500

(20)
The following is a GGA-PBE calculation of an optimized crystal structure of Nb3InS, from the Alexandria database.

Values from the calculation:
Spin magnetization ... 0.01 μB/atom
Formation energy from raw total energies ... 2.05 eV per atom
Space-group type ... Pm-3m
ΔE to the lowest computed polymorph ... 2.314 eV per atom

Lattice parameters (Å, degrees): 5.062 5.062 5.062 90.00 90.00 90.00
Positions (direct):
Nb 0.000 0.000 0.500
Nb 0.000 0.500 0.000
Nb 0.500 0.000 0.000
In 0.000 0.000 0.000
S 0.500 0.500 0.500